Density functional theory data (GGA-PBEsol) for crystalline Mg2TlCd at its relaxed geometry.

Structure (POSCAR):
```
Mg2TlCd
1.0
5.3578 -1.6146 0.0000
5.3578 1.6146 0.0000
-0.8789 0.0000 5.2087
Mg Tl Cd
2 1 1
Direct
0.0000 0.0000 0.0000
0.2481 0.2481 0.7095
0.7522 0.7522 0.2129
0.5038 0.5038 0.5130
```

Computed properties:
magnetic moment	0.00	μB/f.u.
final energy	-0.069	hartree per atom